Density functional theory data (GGA-PBE) for Er8IrRh2 after structural relaxation.

Unit cell a=4.933 b=6.714 c=8.878 alpha=106.42 beta=106.13 gamma=90.00
Element x y z (fractional)
Er 0.407 0.555 0.813
Er 0.667 0.968 0.335
Er 0.797 0.686 0.595
Er 0.968 0.208 0.935
Er 0.203 0.314 0.405
Er 0.333 0.032 0.665
Er 0.593 0.445 0.187
Er 0.032 0.792 0.065
Ir 0.500 0.000 0.000
Rh 0.813 0.295 0.625
Rh 0.187 0.705 0.375

Properties
**Distance to the lowest polymorph of the same formula**: 0.00 eV/f.u.
**ΔH_f (0 K)**: -554 meV/atom
**Fermi-level density of states**: 10.25 states/eV/f.u.
**Final energy**: -6.01 eV/atom
**Calculated density**: 10.7 g/cm³